Run A
A plane-wave DFT calculation with PBE was carried out for a relaxed Cd2Sb2I crystal.

Computed properties:
density of states at the Fermi level	7.37	states/eV per cell
space-group type	No. 127

Cell lengths 9.3511, 9.3511, 3.2688 Å; angles 90.00, 90.00, 90.00 degrees
Last column: nearest neighbours and their distance in Å.
Atoms (fractional coordinates):
1 Cd 0.1648 0.3352 0.0000  6 Sb 3.17-3.22, 2 Cd 3.27, 2 I 3.49
2 Cd 0.3352 0.8352 0.0000  6 Sb 3.17-3.22, 2 Cd 3.27, 2 I 3.49
3 Cd 0.6648 0.1648 0.0000  6 Sb 3.17-3.22, 2 Cd 3.27, 2 I 3.49
4 Cd 0.8352 0.6648 0.0000  6 Sb 3.17-3.22, 2 Cd 3.27, 2 I 3.49
5 Sb 0.1295 0.6295 0.5000  6 Cd 3.17-3.22, 3 Sb 3.27-3.42
6 Sb 0.3705 0.1295 0.5000  6 Cd 3.17-3.22, 3 Sb 3.27-3.42
7 Sb 0.6295 0.8705 0.5000  6 Cd 3.17-3.22, 3 Sb 3.27-3.42
8 Sb 0.8705 0.3705 0.5000  6 Cd 3.17-3.22, 3 Sb 3.27-3.42
9 I 0.0000 0.0000 0.0000  2 I 3.27, 4 Cd 3.49
10 I 0.5000 0.5000 0.0000  2 I 3.27, 4 Cd 3.49

***

Run B
A plane-wave DFT calculation with PBE was carried out for a relaxed Cd2Sb2I crystal.

Computed properties:
density of states at the Fermi level	2.73	states/eV per cell
space-group type	No. 139

Cell lengths 8.2881, 8.2881, 8.2881 Å; angles 149.08, 149.08, 44.30 degrees
Last column: nearest neighbours and their distance in Å.
Atoms (fractional coordinates):
1 Cd 0.0975 0.0975 0.0000  1 Cd 2.99, 4 Sb 3.22
2 Cd 0.9025 0.9025 0.0000  1 Cd 2.99, 4 Sb 3.22
3 Sb 0.2500 0.7500 0.5000  4 Sb 3.12, 4 Cd 3.22
4 Sb 0.7500 0.2500 0.5000  4 Sb 3.12, 4 Cd 3.22
5 I 0.5000 0.5000 0.0000  8 Cd 3.46

***

Relative to the most stable one, in meV per atom, the structures come out at run A 96; run B 0.